This record from the Alexandria database describes an optimized crystal structure of Ac2AlFeO6. The functional is PBE+U.

Unit cell a=5.5248 b=5.5152 c=7.8066 alpha=90.00 beta=90.14 gamma=90.00
Last column: nearest neighbours and their distance in Å.
Sites, in units of the cell vectors:
Ac1 0.9992 0.0000 0.2504  12 O 2.75-2.77
Ac2 0.4992 0.5000 0.7504  12 O 2.75-2.77
Ac3 0.0008 0.0000 0.7496  12 O 2.75-2.77
Ac4 0.5008 0.5000 0.2496  12 O 2.75-2.77
Al1 0.5000 0.0000 0.5000  6 O 1.93
Al2 0.0000 0.5000 0.0000  6 O 1.93
Fe1 0.5000 0.0000 0.0000  6 O 1.98
Fe2 0.0000 0.5000 0.5000  6 O 1.98
O1 0.2468 0.7467 0.0006  1 Al 1.93, 1 Fe 1.98
O2 0.7468 0.7533 0.5006  1 Al 1.93, 1 Fe 1.98
O3 0.7532 0.2533 0.9994  1 Al 1.93, 1 Fe 1.98
O4 0.2532 0.2467 0.4994  1 Al 1.93, 1 Fe 1.98
O5 0.2535 0.7531 0.4994  1 Al 1.93, 1 Fe 1.98
O6 0.7535 0.7469 0.9994  1 Al 1.93, 1 Fe 1.98
O7 0.7465 0.2469 0.5006  1 Al 1.93, 1 Fe 1.98
O8 0.2465 0.2531 0.0006  1 Al 1.93, 1 Fe 1.98
O9 0.9991 0.5001 0.2469  1 Al 1.93, 1 Fe 1.98
O10 0.4991 0.9999 0.7469  1 Al 1.93, 1 Fe 1.98
O11 0.0009 0.4999 0.7531  1 Al 1.93, 1 Fe 1.98
O12 0.5009 0.0001 0.2531  1 Al 1.93, 1 Fe 1.98

Raw total energy   -7.453 eV/atom
Calculated density   8.835 Mg/m³
Fermi-level density of states   0.00 states/eV/cell